First-principles (GGA-PBE) data for crystalline Ba2HgRhN at its relaxed geometry, as listed in the Alexandria database.

The structure in CIF format:
```
data_Ba2HgRhN
_chemical_formula_sum 'Ba2 Hg1 Rh1 N1'
_cell_length_a 5.898
_cell_length_b 5.898
_cell_length_c 3.856
_cell_angle_alpha 90.00
_cell_angle_beta 90.00
_cell_angle_gamma 90.00
_space_group_name_H-M_alt 'P 4/m m m'
_space_group_IT_number 123
_space_group_name_Hall '-P 4 2'
loop_
_atom_site_label
_atom_site_fract_x
_atom_site_fract_y
_atom_site_fract_z
Ba1 0.000 0.500 0.000
Hg1 0.000 0.000 0.500
Rh1 0.500 0.500 0.500
N1 0.500 0.500 0.000
```

Magnetization   0.00 Bohr magnetons per cell
D(E_F)   1.626 states/eV/cell
Raw formation energy   -0.4904 eV/atom